Below is a relaxed structure of Li2CdRh, with properties calculated at the GGA-PBEsol level.

Lattice parameters (Å, degrees): 2.855 4.436 4.788 90.00 93.77 90.00
Atoms (fractional coordinates):
Li  0.743  0.000  0.781
Li  0.257  0.000  0.219
Rh  0.500  0.500  0.000
Cd  0.000  0.500  0.500

Output
The uncorrected energy is -13.8 eV/f.u. The spin magnetization comes out at 0.0 μB per cell.



Below is a relaxed structure of Li2CdRh, with properties calculated at the GGA-PBEsol level.

Lattice parameters (Å, degrees): 3.892 3.892 4.714 114.38 114.38 90.00
Atoms (fractional coordinates):
Rh  0.500  0.500  0.000
Li  0.250  0.750  0.500
Li  0.750  0.250  0.500
Cd  0.000  0.000  0.000

Output
The uncorrected energy is -13.9 eV/f.u. The spin magnetization comes out at 0.0 μB per cell.



Below is a relaxed structure of Li2CdRh, with properties calculated at the GGA-PBEsol level.

Lattice parameters (Å, degrees): 2.791 4.018 5.450 90.00 90.00 90.00
Atoms (fractional coordinates):
Rh  0.000  0.000  0.493
Cd  0.500  0.500  0.737
Li  0.500  0.500  0.266
Li  0.000  0.000  0.003

Output
The uncorrected energy is -13.7 eV/f.u. The spin magnetization comes out at 0.1 μB per cell.



Below is a relaxed structure of LiCd3Rh, with properties calculated at the GGA-PBEsol level.

Lattice parameters (Å, degrees): 5.092 5.092 5.092 90.00 90.00 90.00
Atoms (fractional coordinates):
Li  0.500  0.500  0.500
Cd  0.000  0.500  0.000
Cd  0.000  0.000  0.500
Cd  0.500  0.000  0.000
Rh  0.000  0.000  0.000

Output
The uncorrected energy is -12.9 eV/f.u. The spin magnetization comes out at 0.0 μB per cell.



Below is a relaxed structure of Li2CdRh, with properties calculated at the GGA-PBEsol level.

Lattice parameters (Å, degrees): 3.169 4.416 5.067 115.83 108.22 90.00
Atoms (fractional coordinates):
Cd  0.500  0.000  0.000
Li  0.736  0.736  0.472
Li  0.264  0.264  0.528
Rh  0.000  0.500  0.000

Output
The uncorrected energy is -14.0 eV/f.u. The spin magnetization comes out at 0.0 μB per cell.



Below is a relaxed structure of Li2CdRu, with properties calculated at the GGA-PBEsol level.

Lattice parameters (Å, degrees): 2.718 2.718 8.692 90.00 90.00 90.00
Atoms (fractional coordinates):
Cd  0.500  0.500  0.743
Ru  0.000  0.000  0.494
Li  0.000  0.000  0.989
Li  0.500  0.500  0.274

Output
The uncorrected energy is -14.4 eV/f.u. The spin magnetization comes out at 0.1 μB per cell.